# 1
VASP calculation (PBE-GGA) on a relaxed structure of Tc2HgMo.

abc: 4.7766 4.7766 2.9549
angles: 90.00 90.00 106.96
Last column: nearest neighbours and their distance in Å.
Positions (direct):
Tc 0.5000 0.5000 0.0000  4 Hg 2.81, 4 Mo 2.81, 4 Tc 2.84-2.95
Tc 0.0000 0.0000 0.0000  4 Mo 2.81, 4 Hg 2.81, 4 Tc 2.84-2.95
Hg 0.5000 0.0000 0.5000  8 Tc 2.81, 2 Mo 2.84, 2 Hg 2.95
Mo 0.0000 0.5000 0.5000  8 Tc 2.81, 2 Hg 2.84, 2 Mo 2.95

DFT formation energy in eV per atom: 0.533
Magnetization in μB/cell: 0.00
Uncorrected energy in eV/atom: -7.433
SG: Cmmm (65)

---

# 2
VASP calculation (PBE-GGA) on a relaxed structure of Tc2HgMo.

abc: 9.4596 9.4596 9.4596
angles: 17.36 17.36 17.36
Last column: nearest neighbours and their distance in Å.
Positions (direct):
Tc 0.4939 0.4939 0.4939  3 Mo 2.72, 6 Tc 2.86, 3 Hg 2.99
Hg 0.2500 0.2500 0.2500  6 Hg 2.86, 6 Tc 2.99
Mo 0.7500 0.7500 0.7500  6 Tc 2.72, 6 Mo 2.86
Tc 0.0061 0.0061 0.0061  3 Mo 2.72, 6 Tc 2.86, 3 Hg 2.99

DFT formation energy in eV per atom: 0.370
Magnetization in μB/cell: 0.00
Uncorrected energy in eV/atom: -7.596
SG: R-3m (166)

---

# 3
VASP calculation (PBE-GGA) on a relaxed structure of TcHg2Mo.

abc: 4.7943 4.7943 3.0740
angles: 90.00 90.00 90.00
Last column: nearest neighbours and their distance in Å.
Positions (direct):
Hg 0.5000 0.5000 0.0000  4 Mo 2.85, 4 Tc 2.85, 2 Hg 3.07
Hg 0.0000 0.0000 0.0000  4 Mo 2.85, 4 Tc 2.85, 2 Hg 3.07
Tc 0.0000 0.5000 0.5000  8 Hg 2.85, 2 Tc 3.07
Mo 0.5000 0.0000 0.5000  8 Hg 2.85, 2 Mo 3.07

DFT formation energy in eV per atom: 0.848
Magnetization in μB/cell: 0.00
Distance to the lowest polymorph of the same formula in meV per atom: 537
Uncorrected energy in eV/atom: -4.602
SG: P4/mmm (123)

---

# 4
VASP calculation (PBE-GGA) on a relaxed structure of TcHg2Mo.

abc: 3.0670 3.0704 8.5273
angles: 73.19 90.00 90.00
Last column: nearest neighbours and their distance in Å.
Positions (direct):
Tc 0.5000 0.8094 0.7103  4 Mo 2.55-2.58
Hg 0.5000 0.1549 0.2787  4 Mo 3.05-3.07, 6 Hg 3.07-3.11
Hg 0.0000 0.0997 0.9681  4 Tc 3.02-3.03, 6 Hg 3.07-3.11
Mo 0.0000 0.4360 0.5429  4 Tc 2.55-2.58

DFT formation energy in eV per atom: 0.311
Magnetization in μB/cell: 0.00
Distance to the lowest polymorph of the same formula in meV per atom: 0
Uncorrected energy in eV/atom: -5.139
SG: Pm (6)

---

# 5
VASP calculation (PBE-GGA) on a relaxed structure of Tc2HgMo.

abc: 4.9770 4.9770 4.8353
angles: 78.89 78.89 33.93
Last column: nearest neighbours and their distance in Å.
Positions (direct):
Mo 0.7408 0.7408 0.7832  5 Tc 2.58-2.84, 1 Hg 2.88
Hg 0.5021 0.5021 0.4986  7 Tc 2.81-2.96, 3 Mo 2.88-2.97, 2 Hg 2.90
Tc 0.2621 0.2621 0.2140  2 Mo 2.58, 2 Tc 2.67
Tc 0.9951 0.9951 0.0042  5 Tc 2.67-2.92, 3 Mo 2.78-2.84, 4 Hg 2.81-2.83

DFT formation energy in eV per atom: 0.428
Magnetization in μB/cell: 0.00
Uncorrected energy in eV/atom: -7.538
SG: Cm (8)

---

# 6
VASP calculation (PBE-GGA) on a relaxed structure of Tc2HgMo.

abc: 4.9150 4.9150 4.9604
angles: 78.95 78.95 34.11
Last column: nearest neighbours and their distance in Å.
Positions (direct):
Tc 0.4883 0.4883 0.5365  4 Tc 2.61-2.88, 3 Mo 2.69-2.87, 1 Hg 2.88
Hg 0.2500 0.2500 0.2500  4 Mo 2.87, 2 Hg 2.88, 6 Tc 2.88-2.96
Tc 0.0117 0.0117 0.9635  4 Tc 2.61-2.88, 3 Mo 2.69-2.87, 1 Hg 2.88
Mo 0.7500 0.7500 0.7500  6 Tc 2.69-2.87, 4 Hg 2.87, 2 Mo 2.88

DFT formation energy in eV per atom: 0.427
Magnetization in μB/cell: 0.00
Uncorrected energy in eV/atom: -7.539
SG: C2/m (12)